No. 1
Pr16Nd6Dy7 | GGA-PBE | relaxed

The structure in POSCAR format:
```
Pr16Nd6Dy7
1.0
9.8701 0.0000 5.6985
3.2900 9.3056 5.6985
0.0000 0.0000 11.3970
Pr Nd Dy
16 6 7
Direct
0.8773 0.8773 0.3680
0.8773 0.8773 0.8773
0.8773 0.3680 0.8773
0.3680 0.8773 0.8773
0.1227 0.1227 0.1227
0.1227 0.1227 0.6320
0.1227 0.6320 0.1227
0.6320 0.1227 0.1227
0.6532 0.6532 0.0404
0.6532 0.6532 0.6532
0.6532 0.0404 0.6532
0.0404 0.6532 0.6532
0.3468 0.3468 0.3468
0.3468 0.3468 0.9596
0.3468 0.9596 0.3468
0.9596 0.3468 0.3468
0.2876 0.7124 0.2876
0.7124 0.2876 0.7124
0.7124 0.2876 0.2876
0.2876 0.7124 0.7124
0.7124 0.7124 0.2876
0.2876 0.2876 0.7124
0.0000 0.0000 0.0000
0.5000 0.0000 0.5000
0.0000 0.5000 0.0000
0.0000 0.5000 0.5000
0.5000 0.0000 0.0000
0.0000 0.0000 0.5000
0.5000 0.5000 0.0000
```

Total moment ... 0.0 μB per cell
DFT total energy ... -131.5 eV for the cell shown
Space-group type ... Fm-3m (225)
Energy of formation ... 0.20 eV/atom

***

No. 2
Pr3Nd2Dy3 | GGA-PBE | relaxed

The structure in POSCAR format:
```
Pr3Nd2Dy3
1.0
-0.5556 -1.9611 5.2846
6.0803 2.2420 -1.5641
-4.1788 14.8788 5.0821
Pr Nd Dy
6 4 6
Direct
0.9251 0.8503 0.4054
0.0749 0.1497 0.9054
0.9251 0.8503 0.0946
0.0749 0.1497 0.5946
0.7346 0.4693 0.2500
0.2654 0.5307 0.7500
0.7788 0.5575 0.8719
0.2212 0.4425 0.3719
0.7788 0.5575 0.6281
0.2212 0.4425 0.1281
0.6193 0.2387 0.4497
0.3807 0.7613 0.9497
0.6193 0.2387 0.0503
0.3807 0.7613 0.5503
0.4598 0.9197 0.2500
0.5402 0.0803 0.7500
```

Total moment ... 0.0 μB per cell
DFT total energy ... -73.4 eV for the cell shown
Space-group type ... Cmcm (63)
Energy of formation ... 0.12 eV/atom
Energy above the most stable polymorph in this dataset ... 108 meV/atom